1.
AsOs2Pt2 (GGA-PBE, relaxed); SG = I4/mmm; density = 16307 kg/m³; final energy = -7.308 eV/atom; magnetic moment = 0.000 μB/atom
1.0
3.5799 0.0000 0.0000
0.0000 3.5799 0.0000
0.0000 0.0000 13.4376
As Os Pt
2 4 4
direct
0.0000 0.0000 0.0000
0.5000 0.5000 0.5000
0.0000 0.5000 0.2500
0.0000 0.5000 0.7500
0.5000 0.0000 0.2500
0.5000 0.0000 0.7500
0.0000 0.0000 0.4007
0.0000 0.0000 0.5993
0.5000 0.5000 0.0993
0.5000 0.5000 0.9007



2.
AsOsPt2 (GGA-PBE, relaxed); SG = Pmm2; density = 17461 kg/m³; final energy = -6.722 eV/atom; magnetic moment = 0.000 μB/atom
1.0
2.8431 0.0000 0.0000
0.0000 3.6609 0.0000
0.0000 0.0000 5.9876
As Os Pt
1 1 2
direct
0.0000 0.0000 0.0000
0.5000 0.5000 0.2136
0.0000 0.0000 0.4647
0.5000 0.5000 0.7259



3.
AsOs2Pt (GGA-PBE, relaxed); SG = Cmmm; density = 17504 kg/m³; final energy = -7.614 eV/atom; magnetic moment = 0.000 μB/atom
1.0
2.8414 0.0000 0.0000
0.0000 4.9423 0.0000
0.0000 0.0000 8.7884
As Os Pt
2 4 2
direct
0.0000 0.0000 0.0000
0.5000 0.5000 0.0000
0.0000 0.5000 0.2313
0.0000 0.5000 0.7687
0.5000 0.0000 0.2313
0.5000 0.0000 0.7687
0.0000 0.0000 0.5000
0.5000 0.5000 0.5000